(1)
Compound: Ba3Sr6Pt
Source: the Alexandria database
Functional: GGA-PBE
Structure: optimized geometry

Calculated values
The calculation puts the density of states at the Fermi level at 59.0 states/eV per cell.

Cell lengths 13.0675, 13.0675, 21.6051 Å; angles 90.00, 90.00, 120.00 degrees
Space group R-3m (No. 166, hexagonal axes)
One atom of each set of equivalent atoms:
1 Ba 0.1089 0.5545 0.4154 x18
2 Sr 0.1068 0.2136 0.0814 x18
3 Sr 0.1077 0.2155 0.4199 x18
4 Pt 0.0000 0.0000 0.0000 x3
5 Pt 0.0000 0.0000 0.5000 x3

***

(2)
Compound: BaSrPt
Source: the Alexandria database
Functional: GGA-PBE
Structure: optimized geometry

Calculated values
As for the energy above the most stable polymorph in this dataset: 0.247 eV per formula unit. The calculation puts the density of states at the Fermi level at 4.3 states/eV per cell.

Cell lengths 3.871, 7.748, 7.869 Å; angles 104.61, 104.13, 90.05 degrees
Space group P-1 (No. 2)
One atom of each set of equivalent atoms:
1 Ba 0.120 0.063 0.244 x2
2 Sr 0.119 0.559 0.239 x2
3 Pt 0.499 0.263 0.999 x2

***

(3)
Compound: BaSrPt
Source: the Alexandria database
Functional: GGA-PBE
Structure: optimized geometry

Calculated values
As for the energy above the most stable polymorph in this dataset: 0.063 eV per formula unit. The calculation puts the density of states at the Fermi level at 3.2 states/eV per cell.

Cell lengths 7.606, 7.606, 7.606 Å; angles 90.00, 90.00, 90.00 degrees
Space group F-43m (No. 216)
One atom of each set of equivalent atoms:
1 Ba 0.000 0.000 0.000 x4
2 Sr 0.000 0.000 0.500 x4
3 Pt 0.250 0.250 0.750 x4

***

(4)
Compound: BaSr2Pt
Source: the Alexandria database
Functional: GGA-PBE
Structure: optimized geometry

Calculated values
As for the energy above the most stable polymorph in this dataset: 0.559 eV per formula unit. The calculation puts the density of states at the Fermi level at 6.7 states/eV per cell.

Cell lengths 5.542, 5.556, 10.543 Å; angles 90.00, 90.00, 90.00 degrees
Space group Cmm2 (No. 35)
One atom of each set of equivalent atoms:
1 Ba 0.000 0.000 0.000 x2
2 Sr 0.000 0.000 0.665 x2
3 Sr 0.000 0.500 0.345 x2
4 Pt 0.000 0.500 0.824 x2

***

(5)
Compound: BaSrPt3
Source: the Alexandria database
Functional: GGA-PBE
Structure: optimized geometry

Calculated values
As for the energy above the most stable polymorph in this dataset: 0.000 eV per formula unit. The calculation puts the density of states at the Fermi level at 7.8 states/eV per cell.

Cell lengths 5.422, 5.422, 5.422 Å; angles 90.00, 90.00, 90.00 degrees
Space group Pm-3m (No. 221)
One atom of each set of equivalent atoms:
1 Ba 0.000 0.000 0.000 x1
2 Sr 0.500 0.500 0.500 x1
3 Pt 0.000 0.500 0.500 x3

***

(6)
Compound: BaSrPt10
Source: the Alexandria database
Functional: GGA-PBE
Structure: optimized geometry

Calculated values
The calculation puts the density of states at the Fermi level at 7.0 states/eV per cell.

Cell lengths 4.372, 5.579, 9.607 Å; angles 90.00, 90.00, 90.00 degrees
Space group Pmmm (No. 47)
One atom of each set of equivalent atoms:
1 Ba 0.000 0.000 0.000 x1
2 Sr 0.000 0.500 0.500 x1
3 Pt 0.000 0.000 0.338 x2
4 Pt 0.000 0.500 0.170 x2
5 Pt 0.500 0.000 0.500 x1
6 Pt 0.500 0.252 0.254 x4
7 Pt 0.500 0.500 0.000 x1

***

(7)
Compound: BaSr2Pt
Source: the Alexandria database
Functional: GGA-PBE
Structure: optimized geometry

Calculated values
As for the energy above the most stable polymorph in this dataset: 0.481 eV per formula unit. The calculation puts the density of states at the Fermi level at 2.3 states/eV per cell.

Cell lengths 3.879, 3.879, 10.547 Å; angles 90.00, 90.00, 90.00 degrees
Space group P4/mmm (No. 123)
One atom of each set of equivalent atoms:
1 Ba 0.000 0.000 0.000 x1
2 Sr 0.500 0.500 0.337 x2
3 Pt 0.000 0.000 0.500 x1

***

(8)
Compound: Ba2SrPt
Source: the Alexandria database
Functional: GGA-PBE
Structure: optimized geometry

Calculated values
As for the energy above the most stable polymorph in this dataset: 1.985 eV per formula unit. The calculation puts the density of states at the Fermi level at 6.6 states/eV per cell.

Cell lengths 4.974, 4.974, 12.074 Å; angles 90.00, 90.00, 90.00 degrees
Space group I-4m2 (No. 119)
One atom of each set of equivalent atoms:
1 Ba 0.000 0.000 0.000 x2
2 Ba 0.000 0.500 0.250 x2
3 Sr 0.000 0.000 0.500 x2
4 Pt 0.000 0.500 0.750 x2

***

(9)
Compound: BaSr4Pt
Source: the Alexandria database
Functional: GGA-PBE
Structure: optimized geometry

Calculated values
As for the energy above the most stable polymorph in this dataset: 0.309 eV per formula unit. The calculation puts the density of states at the Fermi level at 19.5 states/eV per cell.

Cell lengths 19.589, 8.335, 7.255 Å; angles 90.00, 105.97, 90.00 degrees
Space group C2/m (No. 12)
One atom of each set of equivalent atoms:
1 Ba 0.198 0.000 0.175 x4
2 Sr 0.000 0.260 0.000 x4
3 Sr 0.105 0.256 0.614 x8
4 Sr 0.177 0.500 0.223 x4
5 Pt 0.026 0.500 0.330 x4

***

(10)
Compound: BaSr2Pt9
Source: the Alexandria database
Functional: GGA-PBE
Structure: optimized geometry

Calculated values
The calculation puts the density of states at the Fermi level at 21.4 states/eV per cell.

Cell lengths 5.5975, 5.5975, 26.6769 Å; angles 90.00, 90.00, 120.00 degrees
Space group R-3m (No. 166, hexagonal axes)
One atom of each set of equivalent atoms:
1 Ba 0.0000 0.0000 0.0000 x3
2 Sr 0.0000 0.0000 0.1408 x6
3 Pt 0.0000 0.0000 0.3320 x6
4 Pt 0.0000 0.0000 0.5000 x3
5 Pt 0.0018 0.5009 0.9169 x18

***

(11)
Compound: Ba2Sr3Pt3
Source: the Alexandria database
Functional: GGA-PBE
Structure: optimized geometry

Calculated values
The calculation puts the density of states at the Fermi level at 20.3 states/eV per cell.

Cell lengths 14.200, 6.189, 14.917 Å; angles 90.00, 91.29, 90.00 degrees
Space group Cm (No. 8)
One atom of each set of equivalent atoms:
1 Ba 0.000 0.000 0.000 x2
2 Ba 0.009 0.000 0.358 x2
3 Ba 0.127 0.500 0.553 x2
4 Ba 0.332 0.000 0.855 x2
5 Sr 0.110 0.500 0.814 x2
6 Sr 0.222 0.500 0.047 x2
7 Sr 0.227 0.500 0.310 x2
8 Sr 0.349 0.000 0.493 x2
9 Sr 0.420 0.000 0.179 x2
10 Sr 0.420 0.500 0.680 x2
11 Pt 0.017 0.500 0.992 x2
12 Pt 0.024 0.500 0.367 x2
13 Pt 0.315 0.500 0.866 x2
14 Pt 0.332 0.500 0.488 x2
15 Pt 0.383 0.500 0.179 x2
16 Pt 0.454 0.000 0.677 x2

***

(12)
Compound: BaSrPt2
Source: the Alexandria database
Functional: GGA-PBE
Structure: optimized geometry

Calculated values
As for the energy above the most stable polymorph in this dataset: 0.668 eV per formula unit.

Cell lengths 4.3833, 4.3833, 22.6934 Å; angles 90.00, 90.00, 120.00 degrees
Space group R3m (No. 160, hexagonal axes)
One atom of each set of equivalent atoms:
1 Ba 0.0000 0.0000 0.0000 x3
2 Sr 0.0000 0.0000 0.8301 x3
3 Pt 0.0000 0.0000 0.2457 x3
4 Pt 0.0000 0.0000 0.4170 x3

***

(13)
Compound: BaSr2Pt
Source: the Alexandria database
Functional: GGA-PBE
Structure: optimized geometry

Calculated values
As for the energy above the most stable polymorph in this dataset: 0.387 eV per formula unit. The calculation puts the density of states at the Fermi level at 7.0 states/eV per cell.

Cell lengths 13.483, 4.172, 7.276 Å; angles 90.00, 121.92, 90.00 degrees
Space group Cm (No. 8)
One atom of each set of equivalent atoms:
1 Ba 0.000 0.000 0.000 x2
2 Sr 0.172 0.000 0.654 x2
3 Sr 0.348 0.000 0.351 x2
4 Pt 0.180 0.500 0.360 x2

***

Formation energy from the elements: -0.227; -0.553; -0.615; -0.385; 0.403; -0.524; -0.405; -0.038; -0.316; -0.689; -0.617; -0.583; -0.428 (eV per atom)